Run 1
NdNiRu: relaxed, GGA-PBE.

size of the total moment	0.000	μB/atom

a b c (Å): 5.132 5.324 7.744
angles (deg): 90.00 90.00 90.00
Positions (direct):
Nd  0.000  0.250  0.121
Nd  0.000  0.750  0.879
Nd  0.500  0.250  0.379
Nd  0.500  0.750  0.621
Ni  0.000  0.000  0.500
Ni  0.000  0.500  0.500
Ni  0.500  0.000  0.000
Ni  0.500  0.500  0.000
Ru  0.250  0.250  0.750
Ru  0.250  0.750  0.250
Ru  0.750  0.250  0.750
Ru  0.750  0.750  0.250

***

Run 2
NdNiRu: relaxed, GGA-PBE.

size of the total moment	0.000	μB/atom

a b c (Å): 6.112 5.920 7.581
angles (deg): 90.00 122.12 90.00
Positions (direct):
Nd  0.208  0.121  0.410
Nd  0.208  0.379  0.910
Nd  0.792  0.621  0.090
Nd  0.792  0.879  0.590
Ni  0.378  0.594  0.325
Ni  0.378  0.906  0.825
Ni  0.622  0.094  0.175
Ni  0.622  0.406  0.675
Ru  0.199  0.608  0.552
Ru  0.199  0.892  0.052
Ru  0.801  0.108  0.948
Ru  0.801  0.392  0.448

***

Run 3
NdNiRu: relaxed, GGA-PBE.

size of the total moment	0.299	μB/atom

a b c (Å): 4.128 4.128 4.069
angles (deg): 90.00 90.00 120.00
Positions (direct):
Nd  0.000  0.000  0.000
Ni  0.667  0.333  0.500
Ru  0.333  0.667  0.500

***

Top of the stability list: run 1, leading by 0.134 eV/atom.

***

Run 1
Nd8NiRu2: relaxed, GGA-PBE.

size of the total moment	0.000	μB/atom

a b c (Å): 7.671 7.671 6.375
angles (deg): 101.35 101.35 113.64
Positions (direct):
Nd  0.000  0.000  0.000
Nd  0.003  0.270  0.587
Nd  0.157  0.560  0.194
Nd  0.270  0.003  0.587
Nd  0.438  0.702  0.817
Nd  0.560  0.157  0.194
Nd  0.702  0.438  0.817
Nd  0.710  0.710  0.395
Ni  0.350  0.350  0.996
Ru  0.039  0.662  0.701
Ru  0.662  0.039  0.701

***

Run 2
Nd8NiRu2: relaxed, GGA-PBE.

size of the total moment	0.000	μB/atom

a b c (Å): 9.338 9.338 6.963
angles (deg): 104.82 104.82 31.28
Positions (direct):
Nd  0.033  0.033  0.290
Nd  0.204  0.204  0.819
Nd  0.331  0.331  0.530
Nd  0.406  0.406  0.046
Nd  0.594  0.594  0.954
Nd  0.669  0.669  0.470
Nd  0.796  0.796  0.181
Nd  0.967  0.967  0.710
Ni  0.500  0.500  0.500
Ru  0.188  0.188  0.210
Ru  0.812  0.812  0.790

***

Top of the stability list: run 2, leading by 0.027 eV/atom.

***

Run 1
NdNiS2: relaxed, GGA-PBE.

size of the total moment	0.000	μB/atom

a b c (Å): 5.283 5.275 5.902
angles (deg): 90.00 116.40 90.00
Positions (direct):
Nd  0.000  0.000  0.000
Nd  0.500  0.500  0.000
Ni  0.000  0.750  0.500
Ni  0.500  0.250  0.500
S  0.140  0.500  0.279
S  0.360  0.000  0.721
S  0.640  0.000  0.279
S  0.860  0.500  0.721

***

Run 2
NdNiS2: relaxed, GGA-PBE.

size of the total moment	0.000	μB/atom

a b c (Å): 3.526 3.526 23.600
angles (deg): 90.00 90.00 120.00
Positions (direct):
Nd  0.000  0.000  0.000
Nd  0.333  0.667  0.667
Nd  0.667  0.333  0.333
Ni  0.000  0.000  0.500
Ni  0.333  0.667  0.167
Ni  0.667  0.333  0.833
S  0.000  0.000  0.118
S  0.000  0.000  0.882
S  0.333  0.667  0.549
S  0.333  0.667  0.784
S  0.667  0.333  0.216
S  0.667  0.333  0.451

***

Top of the stability list: run 1, leading by 0.840 eV/atom.

***

Run 1
NdSc3Ni8: relaxed, GGA-PBE.

size of the total moment	0.000	μB/atom

a b c (Å): 8.630 8.630 8.630
angles (deg): 33.35 33.35 33.35
Positions (direct):
Nd  0.000  0.000  0.000
Sc  0.381  0.381  0.381
Sc  0.503  0.503  0.503
Sc  0.873  0.873  0.873
Ni  0.188  0.188  0.188
Ni  0.436  0.436  0.934
Ni  0.436  0.934  0.436
Ni  0.444  0.939  0.939
Ni  0.689  0.689  0.689
Ni  0.934  0.436  0.436
Ni  0.939  0.444  0.939
Ni  0.939  0.939  0.444

***

Run 2
NdSc3Ni8: relaxed, GGA-PBE.

size of the total moment	0.000	μB/atom

a b c (Å): 4.967 4.967 8.132
angles (deg): 90.00 90.00 120.00
Positions (direct):
Nd  0.000  0.000  0.000
Sc  0.000  0.000  0.380
Sc  0.667  0.333  0.490
Sc  0.667  0.333  0.853
Ni  0.167  0.334  0.676
Ni  0.167  0.833  0.676
Ni  0.333  0.667  0.431
Ni  0.333  0.667  0.930
Ni  0.501  0.003  0.191
Ni  0.501  0.499  0.191
Ni  0.666  0.833  0.676
Ni  0.997  0.499  0.191

***

Top of the stability list: run 1, leading by 0.021 eV/atom.

***

Run 1
Nd3Si2Ni3: relaxed, GGA-PBE.

size of the total moment	0.000	μB/atom

a b c (Å): 5.739 5.739 14.590
angles (deg): 90.00 90.00 138.28
Positions (direct):
Nd  0.076  0.924  0.607
Nd  0.076  0.924  0.893
Nd  0.369  0.631  0.750
Nd  0.631  0.369  0.250
Nd  0.924  0.076  0.107
Nd  0.924  0.076  0.393
Si  0.209  0.791  0.104
Si  0.209  0.791  0.396
Si  0.791  0.209  0.604
Si  0.791  0.209  0.896
Ni  0.326  0.674  0.250
Ni  0.328  0.672  0.532
Ni  0.328  0.672  0.968
Ni  0.672  0.328  0.032
Ni  0.672  0.328  0.468
Ni  0.674  0.326  0.750

***

Run 2
Nd3Si2Ni3: relaxed, GGA-PBE.

size of the total moment	0.000	μB/atom

a b c (Å): 7.417 14.327 5.932
angles (deg): 90.00 90.00 90.00
Positions (direct):
Nd  0.002  0.108  0.141
Nd  0.002  0.392  0.141
Nd  0.129  0.750  0.374
Nd  0.371  0.250  0.874
Nd  0.498  0.608  0.641
Nd  0.498  0.892  0.641
Nd  0.502  0.108  0.359
Nd  0.502  0.392  0.359
Nd  0.629  0.750  0.126
Nd  0.871  0.250  0.626
Nd  0.998  0.608  0.859
Nd  0.998  0.892  0.859
Si  0.157  0.091  0.639
Si  0.157  0.409  0.639
Si  0.343  0.591  0.139
Si  0.343  0.909  0.139
Si  0.657  0.091  0.861
Si  0.657  0.409  0.861
Si  0.843  0.591  0.361
Si  0.843  0.909  0.361
Ni  0.139  0.539  0.401
Ni  0.139  0.961  0.401
Ni  0.214  0.250  0.433
Ni  0.286  0.750  0.933
Ni  0.361  0.039  0.901
Ni  0.361  0.461  0.901
Ni  0.639  0.539  0.099
Ni  0.639  0.961  0.099
Ni  0.714  0.250  0.067
Ni  0.786  0.750  0.567
Ni  0.861  0.039  0.599
Ni  0.861  0.461  0.599

***

Top of the stability list: run 2, leading by 0.033 eV/atom.

***

Run 1
Nd3Si2Ni2: relaxed, GGA-PBE.

size of the total moment	0.000	μB/atom

a b c (Å): 4.131 4.303 17.356
angles (deg): 90.00 90.00 90.00
Positions (direct):
Nd  0.000  0.000  0.000
Nd  0.000  0.500  0.319
Nd  0.000  0.500  0.681
Nd  0.500  0.000  0.181
Nd  0.500  0.000  0.819
Nd  0.500  0.500  0.500
Si  0.000  0.500  0.135
Si  0.000  0.500  0.865
Si  0.500  0.000  0.365
Si  0.500  0.000  0.635
Ni  0.000  0.000  0.431
Ni  0.000  0.000  0.569
Ni  0.500  0.500  0.069
Ni  0.500  0.500  0.931

***

Run 2
Nd3Si2Ni2: relaxed, GGA-PBE.

size of the total moment	0.000	μB/atom

a b c (Å): 5.665 7.971 12.788
angles (deg): 90.00 90.00 90.00
Positions (direct):
Nd  0.131  0.114  0.101
Nd  0.131  0.114  0.399
Nd  0.131  0.386  0.601
Nd  0.131  0.386  0.899
Nd  0.353  0.739  0.750
Nd  0.353  0.761  0.250
Nd  0.647  0.239  0.750
Nd  0.647  0.261  0.250
Nd  0.869  0.614  0.101
Nd  0.869  0.614  0.399
Nd  0.869  0.886  0.601
Nd  0.869  0.886  0.899
Si  0.173  0.090  0.750
Si  0.173  0.410  0.250
Si  0.371  0.750  0.000
Si  0.371  0.750  0.500
Si  0.629  0.250  0.000
Si  0.629  0.250  0.500
Si  0.827  0.590  0.750
Si  0.827  0.910  0.250
Ni  0.389  0.031  0.588
Ni  0.389  0.031  0.912
Ni  0.389  0.469  0.088
Ni  0.389  0.469  0.412
Ni  0.611  0.531  0.588
Ni  0.611  0.531  0.912
Ni  0.611  0.969  0.088
Ni  0.611  0.969  0.412

***

Top of the stability list: run 2, leading by 0.005 eV/atom.

***

Run 1
Nd2Si3Ni5: relaxed, GGA-PBE.

size of the total moment	0.000	μB/atom

a b c (Å): 12.968 12.968 6.446
angles (deg): 90.00 90.00 162.52
Positions (direct):
Nd  0.022  0.978  0.500
Nd  0.323  0.677  0.492
Nd  0.677  0.323  0.992
Nd  0.978  0.022  0.000
Si  0.120  0.880  0.275
Si  0.275  0.725  0.049
Si  0.434  0.566  0.299
Si  0.566  0.434  0.799
Si  0.725  0.275  0.549
Si  0.880  0.120  0.775
Ni  0.087  0.913  0.941
Ni  0.207  0.793  0.357
Ni  0.233  0.767  0.736
Ni  0.368  0.632  0.995
Ni  0.428  0.572  0.680
Ni  0.572  0.428  0.180
Ni  0.632  0.368  0.495
Ni  0.767  0.233  0.236
Ni  0.793  0.207  0.857
Ni  0.913  0.087  0.441

***

Run 2
Nd2Si3Ni5: relaxed, GGA-PBE.

size of the total moment	0.000	μB/atom

a b c (Å): 8.043 8.043 8.043
angles (deg): 108.40 86.18 138.68
Positions (direct):
Nd  0.129  0.244  0.373
Nd  0.371  0.744  0.115
Nd  0.629  0.256  0.885
Nd  0.871  0.756  0.627
Si  0.116  0.633  0.749
Si  0.250  0.250  0.000
Si  0.384  0.133  0.517
Si  0.616  0.867  0.483
Si  0.750  0.750  0.000
Si  0.884  0.367  0.251
Ni  0.020  0.750  0.270
Ni  0.123  0.882  0.006
Ni  0.250  0.750  0.500
Ni  0.377  0.382  0.759
Ni  0.480  0.750  0.730
Ni  0.520  0.250  0.270
Ni  0.623  0.618  0.241
Ni  0.750  0.250  0.500
Ni  0.877  0.118  0.994
Ni  0.980  0.250  0.730

***

Top of the stability list: run 2, leading by 0.120 eV/atom.

***

Run 1
NdSi2Ni4: relaxed, GGA-PBE.

size of the total moment	0.000	μB/atom

a b c (Å): 7.327 7.327 3.664
angles (deg): 90.00 90.00 90.00
Positions (direct):
Nd  0.000  0.000  0.000
Nd  0.500  0.500  0.500
Si  0.223  0.223  0.500
Si  0.277  0.723  0.000
Si  0.723  0.277  0.000
Si  0.777  0.777  0.500
Ni  0.085  0.659  0.500
Ni  0.159  0.415  0.000
Ni  0.341  0.915  0.500
Ni  0.415  0.159  0.000
Ni  0.585  0.841  0.000
Ni  0.659  0.085  0.500
Ni  0.841  0.585  0.000
Ni  0.915  0.341  0.500

***

Run 2
NdSi2Ni4: relaxed, GGA-PBE.

size of the total moment	0.000	μB/atom

a b c (Å): 16.430 3.966 6.214
angles (deg): 90.00 90.00 90.00
Positions (direct):
Nd  0.140  0.250  0.005
Nd  0.360  0.750  0.505
Nd  0.640  0.250  0.495
Nd  0.860  0.750  0.995
Si  0.040  0.750  0.735
Si  0.212  0.250  0.471
Si  0.288  0.750  0.971
Si  0.460  0.250  0.235
Si  0.540  0.750  0.765
Si  0.712  0.250  0.029
Si  0.788  0.750  0.529
Si  0.960  0.250  0.265
Ni  0.020  0.750  0.138
Ni  0.067  0.250  0.516
Ni  0.183  0.750  0.669
Ni  0.212  0.750  0.280
Ni  0.288  0.250  0.780
Ni  0.317  0.250  0.169
Ni  0.433  0.750  0.016
Ni  0.480  0.250  0.638
Ni  0.520  0.750  0.362
Ni  0.567  0.250  0.984
Ni  0.683  0.750  0.831
Ni  0.712  0.750  0.220
Ni  0.788  0.250  0.720
Ni  0.817  0.250  0.331
Ni  0.933  0.750  0.484
Ni  0.980  0.250  0.862

***

Top of the stability list: run 1, leading by 0.088 eV/atom.